(1)
A plane-wave DFT calculation with PBE was carried out for a geometry-optimized Rb3Gd structure.

As for the formation enthalpy at 0 K: 205 kJ/mol of formula units.

The structure in extended XYZ format:
```
4
Lattice="-5.6997 -1.6965 -2.6008 3.1042 -3.2549 -4.6796 -0.0811 -5.3532 3.6696" Properties=species:S:1:pos:R:3 pbc="T T T"
Rb -2.8904 -3.5248 0.5344
Gd 0.0000 0.0000 0.0000
Rb 1.5115 -4.3041 -0.5050
Rb -1.2978 -2.4757 -3.6402
```



(2)
A plane-wave DFT calculation with PBE was carried out for a geometry-optimized MgGa5Pd structure.

As for the formation enthalpy at 0 K: -156 kJ/mol of formula units.

The structure in extended XYZ format:
```
7
Lattice="4.4646 0.0000 0.0000 0.0000 4.4646 0.0000 0.0000 0.0000 6.4246" Properties=species:S:1:pos:R:3 pbc="T T T"
Pd 0.0000 0.0000 3.2123
Ga 0.0000 2.2323 4.6094
Mg 0.0000 0.0000 0.0000
Ga 2.2323 2.2323 0.0000
Ga 0.0000 2.2323 1.8152
Ga 2.2323 0.0000 4.6094
Ga 2.2323 0.0000 1.8152
```



So what do the calculations give for final energy? Going down the list: -0.1365 -0.1236 Ha/atom.